1.
A relaxed CsTi2Bi2 crystal. Source: Alexandria via LeMat-Bulk, functional GGA-PBE.

## Properties
- Space group: I4/mmm (139)

Lattice parameters (Å, degrees): 4.4835 4.4835 9.0469 75.65 75.65 90.00
Closest atoms and distances in Å follow each position.
Atoms (fractional coordinates):
Cs 0.0000 0.0000 0.0000  8 Bi 3.98
Bi 0.3582 0.3582 0.2836  4 Ti 2.90
Bi 0.6418 0.6418 0.7164  4 Ti 2.90
Ti 0.7500 0.2500 0.5000  4 Bi 2.90, 4 Ti 3.17
Ti 0.2500 0.7500 0.5000  4 Bi 2.90, 4 Ti 3.17

---

2.
A relaxed CsTiBi2 crystal. Source: Alexandria via LeMat-Bulk, functional GGA-PBE.

## Properties
- Space group: R3m (160)

Lattice parameters (Å, degrees): 4.3333 4.3333 9.2718 76.49 76.49 60.00
Closest atoms and distances in Å follow each position.
Atoms (fractional coordinates):
Cs 0.4984 0.4984 0.5048  6 Bi 3.86-3.94
Ti 0.6676 0.6676 0.9973  6 Bi 2.89-2.91
Bi 0.0552 0.0552 0.8343  3 Ti 2.89
Bi 0.2788 0.2788 0.1635  3 Ti 2.91

---

3.
A relaxed CsTiBi3 crystal. Source: Alexandria via LeMat-Bulk, functional GGA-PBE.

## Properties
- Space group: Pm-3m (221)

Lattice parameters (Å, degrees): 6.1226 6.1226 6.1226 90.00 90.00 90.00
Closest atoms and distances in Å follow each position.
Atoms (fractional coordinates):
Cs 0.0000 0.0000 0.0000  6 Bi 3.06
Bi 0.0000 0.5000 0.0000  2 Cs 3.06
Bi 0.0000 0.0000 0.5000  2 Cs 3.06
Bi 0.5000 0.0000 0.0000  2 Cs 3.06
Ti 0.5000 0.5000 0.5000  12 Bi 4.33

---

no.,polymorph energy (0 for the lowest one) (eV/atom),DFT formation energy (eV per atom)
1,0.000,-0.13
2,0.000,-0.11
3,1.921,1.83